Material: PmAl4Cu2Ni
Method: DFT, PBE
State: optimized geometry

Calculated values
Calculated formation energy, eV per atom: -0.41
Magnetization, μB/f.u.: 0.00
Mass density, g/cm³: 5.5

Cell: 4.1590 4.1590 26.3345 Å, 90.00 90.00 120.00°
With the nearest neighbours (Å) after each atom.
Space group R-3m (No. 166, hexagonal axes)
Inequivalent atoms, fractional coordinates:
Pm 0.0000 0.0000 0.0000 (multiplicity 3)  6 Al 3.10
Al 0.0000 0.0000 0.1343 (multiplicity 6)  3 Ni 2.55, 4 Cu 2.58-2.66
Al 0.0000 0.0000 0.4076 (multiplicity 6)  1 Ni 2.43, 3 Cu 2.48
Cu 0.0000 0.0000 0.2354 (multiplicity 6)  7 Al 2.48-2.66
Ni 0.0000 0.0000 0.5000 (multiplicity 3)  8 Al 2.43-2.55